# 1
PmY2ScAs4: relaxed, GGA-PBE.

Calculated values
* calculated formation energy: -1.474 eV/atom

Cell lengths 7.092, 4.104, 7.102 Å; angles 90.00, 109.47, 90.00 degrees
Space group P2/m (No. 10)
Symmetry-distinct sites (fractional):
Pm 0.000 0.000 0.000 [1 per cell]
Y 0.000 0.500 0.500 [1 per cell]
Y 0.500 0.000 0.500 [1 per cell]
Sc 0.500 0.500 0.000 [1 per cell]
As 0.260 0.500 0.250 [2 per cell]
As 0.262 0.000 0.758 [2 per cell]

=====

# 2
Pm5As4Se: relaxed, GGA-PBE.

Calculated values
* energy relative to the elements, uncorrected: -1.63 eV per atom

Cell lengths 4.233, 5.981, 21.188 Å; angles 90.00, 90.00, 90.00 degrees
Space group Immm (No. 71)
Symmetry-distinct sites (fractional):
Pm 0.000 0.000 0.000 [2 per cell]
Pm 0.000 0.000 0.200 [4 per cell]
Pm 0.000 0.000 0.396 [4 per cell]
As 0.000 0.500 0.200 [4 per cell]
As 0.000 0.500 0.401 [4 per cell]
Se 0.000 0.500 0.000 [2 per cell]

=====

# 3
Pm8As4Se3: relaxed, GGA-PBE.

Calculated values
* energy relative to the elements, uncorrected: -1.57 eV per atom

Cell lengths 11.865, 11.887, 8.394 Å; angles 90.00, 134.88, 90.00 degrees
Space group C2/m (No. 12)
Symmetry-distinct sites (fractional):
Pm 0.000 0.246 0.000 [4 per cell]
Pm 0.000 0.253 0.500 [4 per cell]
Pm 0.248 0.500 0.990 [4 per cell]
Pm 0.249 0.000 0.496 [4 per cell]
As 0.000 0.000 0.000 [2 per cell]
As 0.000 0.500 0.500 [2 per cell]
As 0.250 0.250 0.500 [4 per cell]
Se 0.000 0.500 0.000 [2 per cell]
Se 0.250 0.250 0.000 [4 per cell]

=====

# 4
Pm3As2Se: relaxed, GGA-PBE.

Calculated values
* energy relative to the elements, uncorrected: -1.69 eV per atom

Cell lengths 4.229, 5.982, 12.669 Å; angles 90.00, 90.00, 90.00 degrees
Space group Immm (No. 71)
Symmetry-distinct sites (fractional):
Pm 0.000 0.000 0.000 [2 per cell]
Pm 0.000 0.000 0.328 [4 per cell]
As 0.000 0.500 0.334 [4 per cell]
Se 0.000 0.500 0.000 [2 per cell]

=====

# 5
Pm3AsSe2: relaxed, GGA-PBE.

Calculated values
* relative energy among the computed polymorphs: 0.03 eV per formula unit
* energy relative to the elements, uncorrected: -1.78 eV per atom

Cell lengths 7.307, 12.626, 7.306 Å; angles 90.00, 109.53, 90.00 degrees
Space group C2/c (No. 15)
Symmetry-distinct sites (fractional):
Pm 0.240 0.080 0.001 [8 per cell]
Pm 0.250 0.250 0.500 [4 per cell]
As 0.000 0.085 0.250 [4 per cell]
Se 0.000 0.251 0.750 [4 per cell]
Se 0.000 0.417 0.250 [4 per cell]

=====

# 6
Pm6AsSe5: relaxed, GGA-PBE.

Calculated values
* energy relative to the elements, uncorrected: -1.81 eV per atom

Cell lengths 7.273, 12.613, 7.299 Å; angles 90.00, 109.30, 90.00 degrees
Space group C2/m (No. 12)
Symmetry-distinct sites (fractional):
Pm 0.244 0.163 0.244 [8 per cell]
Pm 0.245 0.000 0.756 [4 per cell]
As 0.000 0.000 0.000 [2 per cell]
Se 0.000 0.168 0.500 [4 per cell]
Se 0.000 0.333 0.000 [4 per cell]
Se 0.000 0.500 0.500 [2 per cell]

=====

# 7
Pm4AsSe2: relaxed, GGA-PBE.

Calculated values
* energy relative to the elements, uncorrected: -1.41 eV per atom

Cell lengths 15.558, 4.145, 7.052 Å; angles 90.00, 116.37, 90.00 degrees
Space group C2/m (No. 12)
Symmetry-distinct sites (fractional):
Pm 0.120 0.000 0.454 [4 per cell]
Pm 0.123 0.500 0.963 [4 per cell]
As 0.000 0.000 0.000 [2 per cell]
Se 0.243 0.500 0.738 [4 per cell]

=====

# 8
Pm3As5Se12: relaxed, GGA-PBE.

Calculated values
* energy relative to the elements, uncorrected: -0.67 eV per atom

Cell lengths 16.442, 16.442, 16.442 Å; angles 90.00, 90.00, 90.00 degrees
Space group Ia-3d (No. 230)
Symmetry-distinct sites (fractional):
Pm 0.000 0.250 0.125 [24 per cell]
As 0.000 0.000 0.000 [16 per cell]
As 0.000 0.250 0.375 [24 per cell]
Se 0.021 0.062 0.651 [96 per cell]

=====

# 9
Pm7As5Se: relaxed, GGA-PBE.

Calculated values
* energy relative to the elements, uncorrected: -1.43 eV per atom

Cell lengths 13.936, 4.196, 24.785 Å; angles 90.00, 90.05, 90.00 degrees
Space group Cm (No. 8)
Symmetry-distinct sites (fractional):
Pm 0.000 0.000 0.000 [2 per cell]
Pm 0.000 0.000 0.147 [2 per cell]
Pm 0.041 0.500 0.859 [2 per cell]
Pm 0.042 0.500 0.288 [2 per cell]
Pm 0.091 0.000 0.719 [2 per cell]
Pm 0.092 0.000 0.428 [2 per cell]
Pm 0.134 0.500 0.574 [2 per cell]
Pm 0.224 0.500 0.074 [2 per cell]
Pm 0.266 0.000 0.219 [2 per cell]
Pm 0.266 0.000 0.928 [2 per cell]
Pm 0.316 0.500 0.788 [2 per cell]
Pm 0.317 0.500 0.359 [2 per cell]
Pm 0.357 0.000 0.647 [2 per cell]
Pm 0.358 0.000 0.500 [2 per cell]
As 0.133 0.500 0.178 [2 per cell]
As 0.133 0.500 0.969 [2 per cell]
As 0.179 0.000 0.324 [2 per cell]
As 0.179 0.000 0.824 [2 per cell]
As 0.224 0.500 0.678 [2 per cell]
As 0.225 0.500 0.469 [2 per cell]
As 0.406 0.500 0.249 [2 per cell]
As 0.406 0.500 0.898 [2 per cell]
As 0.452 0.000 0.398 [2 per cell]
As 0.452 0.000 0.749 [2 per cell]
Se 0.380 0.000 0.073 [2 per cell]
Se 0.478 0.500 0.574 [2 per cell]

=====

# 10
Pm4AsSe3: relaxed, GGA-PBE.

Calculated values
* energy relative to the elements, uncorrected: -1.80 eV per atom

Cell lengths 8.455, 11.904, 4.197 Å; angles 90.00, 90.00, 90.00 degrees
Space group Cmmm (No. 65)
Symmetry-distinct sites (fractional):
Pm 0.000 0.245 0.000 [4 per cell]
Pm 0.241 0.000 0.500 [4 per cell]
As 0.000 0.000 0.000 [2 per cell]
Se 0.000 0.500 0.000 [2 per cell]
Se 0.250 0.250 0.500 [4 per cell]

=====

# 11
Pm7AsSe5: relaxed, GGA-PBE.

Calculated values
* energy relative to the elements, uncorrected: -1.62 eV per atom

Cell lengths 4.120, 13.702, 24.897 Å; angles 90.00, 90.00, 90.00 degrees
Space group Cmc2_1 (No. 36)
Symmetry-distinct sites (fractional):
Pm 0.000 0.036 0.000 [4 per cell]
Pm 0.000 0.125 0.284 [4 per cell]
Pm 0.000 0.152 0.709 [4 per cell]
Pm 0.000 0.292 0.067 [4 per cell]
Pm 0.000 0.314 0.928 [4 per cell]
Pm 0.000 0.396 0.367 [4 per cell]
Pm 0.000 0.431 0.640 [4 per cell]
As 0.000 0.310 0.485 [4 per cell]
Se 0.000 0.043 0.392 [4 per cell]
Se 0.000 0.067 0.602 [4 per cell]
Se 0.000 0.209 0.175 [4 per cell]
Se 0.000 0.234 0.820 [4 per cell]
Se 0.000 0.483 0.250 [4 per cell]

=====

# 12
Pm3AsSe2: relaxed, GGA-PBE.

Calculated values
* relative energy among the computed polymorphs: 0.00 eV per formula unit
* energy relative to the elements, uncorrected: -1.78 eV per atom

Cell lengths 4.200, 5.944, 12.714 Å; angles 90.00, 90.00, 90.00 degrees
Space group Immm (No. 71)
Symmetry-distinct sites (fractional):
Pm 0.000 0.000 0.000 [2 per cell]
Pm 0.000 0.000 0.340 [4 per cell]
As 0.000 0.500 0.000 [2 per cell]
Se 0.000 0.500 0.332 [4 per cell]

=====

# 13
PmAsSe2: relaxed, GGA-PBE.

Calculated values
* energy relative to the elements, uncorrected: -0.29 eV per atom

Cell lengths 3.8662, 3.8662, 26.4536 Å; angles 90.00, 90.00, 120.00 degrees
Space group R-3m (No. 166, hexagonal axes)
Symmetry-distinct sites (fractional):
Pm 0.0000 0.0000 0.0000 [3 per cell]
As 0.0000 0.0000 0.5000 [3 per cell]
Se 0.0000 0.0000 0.1091 [6 per cell]

=====

# 14
Pm6As5Se: relaxed, GGA-PBE.

Calculated values
* energy relative to the elements, uncorrected: -1.62 eV per atom

Cell lengths 7.334, 12.694, 7.335 Å; angles 90.00, 109.44, 90.00 degrees
Space group C2/m (No. 12)
Symmetry-distinct sites (fractional):
Pm 0.246 0.000 0.253 [4 per cell]
Pm 0.247 0.169 0.747 [8 per cell]
As 0.000 0.000 0.500 [2 per cell]
As 0.000 0.167 0.000 [4 per cell]
As 0.000 0.334 0.500 [4 per cell]
Se 0.000 0.500 0.000 [2 per cell]

=====

# 15
PmAsSe3: relaxed, GGA-PBE.

Calculated values
* relative energy among the computed polymorphs: 0.00 eV per formula unit
* energy relative to the elements, uncorrected: -0.94 eV per atom

Cell lengths 7.181, 3.870, 20.100 Å; angles 90.00, 90.00, 90.00 degrees
Space group Pnma (No. 62)
Symmetry-distinct sites (fractional):
Pm 0.236 0.250 0.190 [4 per cell]
As 0.216 0.750 0.503 [4 per cell]
Se 0.015 0.750 0.266 [4 per cell]
Se 0.060 0.250 0.425 [4 per cell]
Se 0.115 0.750 0.082 [4 per cell]

=====

# 16
PmAsSe3: relaxed, GGA-PBE.

Calculated values
* relative energy among the computed polymorphs: 0.46 eV per formula unit
* energy relative to the elements, uncorrected: -0.85 eV per atom

Cell lengths 7.145, 7.627, 11.524 Å; angles 90.00, 120.05, 90.00 degrees
Space group P2_1/c (No. 14)
Symmetry-distinct sites (fractional):
Pm 0.190 0.134 0.234 [4 per cell]
As 0.160 0.593 0.079 [4 per cell]
Se 0.096 0.173 0.936 [4 per cell]
Se 0.253 0.684 0.913 [4 per cell]
Se 0.468 0.050 0.790 [4 per cell]

=====

# 17
Pm4SiAs2Se: relaxed, GGA-PBE.

Calculated values
* energy relative to the elements, uncorrected: -1.42 eV per atom

Cell lengths 7.330, 4.216, 7.346 Å; angles 90.00, 109.30, 90.00 degrees
Space group P2/m (No. 10)
Symmetry-distinct sites (fractional):
Pm 0.246 0.000 0.242 [2 per cell]
Pm 0.249 0.500 0.753 [2 per cell]
Si 0.500 0.000 0.000 [1 per cell]
As 0.000 0.000 0.500 [1 per cell]
As 0.000 0.500 0.000 [1 per cell]
Se 0.500 0.500 0.500 [1 per cell]

=====

no.,E (eV/atom)
1,-6.80
2,-6.21
3,-6.04
4,-6.19
5,-6.09
6,-6.03
7,-5.78
8,-4.63
9,-6.04
10,-6.06
11,-5.88
12,-6.10
13,-4.38
14,-6.23
15,-4.91
16,-4.82
17,-6.07